# 1
Entry from Alexandria: a relaxed Cs2RbAs2O6 crystal (PBE-GGA).

Calculated values
Formation energy from raw total energies, eV/f.u.: -16.0
SG: No. 12

Unit cell a=6.657 b=6.776 c=7.858 alpha=117.92 beta=90.00 gamma=119.42
Element x y z (fractional)
Cs (0.710, 0.419, 0.193)
Cs (0.290, 0.581, 0.807)
Rb (0.500, 0.000, 0.500)
As (0.964, 0.929, 0.806)
As (0.036, 0.071, 0.194)
O (0.794, 0.588, 0.671)
O (0.177, 0.922, 0.200)
O (0.256, 0.078, 0.800)
O (0.823, 0.078, 0.800)
O (0.744, 0.922, 0.200)
O (0.206, 0.412, 0.329)



# 2
Entry from Alexandria: a relaxed CsRbAsO2 crystal (PBE-GGA).

Calculated values
Formation energy from raw total energies, eV/f.u.: -4.5
SG: No. 13

Unit cell a=6.258 b=6.638 c=7.955 alpha=90.09 beta=90.00 gamma=90.00
Element x y z (fractional)
Cs (0.002, 0.500, 0.750)
Cs (0.998, 0.500, 0.250)
Rb (0.500, 0.000, 0.250)
Rb (0.500, 0.000, 0.750)
As (0.000, 0.000, 0.000)
As (0.000, 0.000, 0.500)
O (0.786, 0.805, 0.000)
O (0.786, 0.195, 0.500)
O (0.214, 0.805, 0.500)
O (0.214, 0.195, 0.000)



# 3
Entry from Alexandria: a relaxed CsReAs2O8 crystal (PBE-GGA).

Calculated values
Formation energy from raw total energies, eV/f.u.: -16.2
SG: No. 148

Unit cell a=5.091 b=5.091 c=10.024 alpha=75.29 beta=75.29 gamma=60.00
Element x y z (fractional)
Cs (0.500, 0.500, 0.500)
Re (0.000, 0.000, 0.000)
As (0.271, 0.271, 0.187)
As (0.729, 0.729, 0.813)
O (0.213, 0.213, 0.360)
O (0.633, 0.255, 0.121)
O (0.787, 0.787, 0.640)
O (0.991, 0.633, 0.121)
O (0.009, 0.367, 0.879)
O (0.255, 0.991, 0.121)
O (0.745, 0.009, 0.879)
O (0.367, 0.745, 0.879)



# 4
Entry from Alexandria: a relaxed CsAsSe2O crystal (PBE-GGA).

Calculated values
E above lowest polymorph, meV per atom: 1669
Formation energy from raw total energies, eV/f.u.: 9.3
SG: No. 123

Unit cell a=5.847 b=5.847 c=6.273 alpha=90.00 beta=90.00 gamma=90.00
Element x y z (fractional)
Cs (0.000, 0.000, 0.000)
As (0.000, 0.000, 0.500)
O (0.500, 0.500, 0.500)
Se (0.000, 0.500, 0.000)
Se (0.500, 0.000, 0.000)



# 5
Entry from Alexandria: a relaxed CsAsSe2O crystal (PBE-GGA).

Calculated values
E above lowest polymorph, meV per atom: 0
Formation energy from raw total energies, eV/f.u.: 1.0
SG: No. 123

Unit cell a=5.497 b=5.497 c=4.129 alpha=90.00 beta=90.00 gamma=90.00
Element x y z (fractional)
Cs (0.500, 0.500, 0.500)
As (0.000, 0.000, 0.500)
O (0.000, 0.000, 0.000)
Se (0.000, 0.500, 0.000)
Se (0.500, 0.000, 0.000)



# 6
Entry from Alexandria: a relaxed CsAs2SeO crystal (PBE-GGA).

Calculated values
E above lowest polymorph, meV per atom: 0
Formation energy from raw total energies, eV/f.u.: 1.5
SG: No. 123

Unit cell a=4.649 b=4.649 c=5.271 alpha=90.00 beta=90.00 gamma=90.00
Element x y z (fractional)
Cs (0.500, 0.500, 0.500)
As (0.000, 0.500, 0.000)
As (0.500, 0.000, 0.000)
O (0.000, 0.000, 0.000)
Se (0.000, 0.000, 0.500)



# 7
Entry from Alexandria: a relaxed CsAs2SeO8 crystal (PBE-GGA).

Calculated values
Formation energy from raw total energies, eV/f.u.: -12.2
SG: No. 12

Unit cell a=5.015 b=5.015 c=9.101 alpha=85.24 beta=85.24 gamma=65.84
Element x y z (fractional)
Cs (0.000, 0.000, 0.500)
As (0.629, 0.629, 0.177)
As (0.371, 0.371, 0.823)
Se (0.000, 0.000, 0.000)
O (0.752, 0.246, 0.844)
O (0.769, 0.769, 0.022)
O (0.684, 0.684, 0.348)
O (0.316, 0.316, 0.652)
O (0.231, 0.231, 0.978)
O (0.246, 0.752, 0.844)
O (0.754, 0.248, 0.156)
O (0.248, 0.754, 0.156)



# 8
Entry from Alexandria: a relaxed CsAs2SeO crystal (PBE-GGA).

Calculated values
E above lowest polymorph, meV per atom: 1589
Formation energy from raw total energies, eV/f.u.: 9.4
SG: No. 123

Unit cell a=6.279 b=6.279 c=5.956 alpha=90.00 beta=90.00 gamma=90.00
Element x y z (fractional)
Cs (0.000, 0.000, 0.000)
As (0.000, 0.500, 0.000)
As (0.500, 0.000, 0.000)
O (0.500, 0.500, 0.500)
Se (0.000, 0.000, 0.500)



# 9
Entry from Alexandria: a relaxed Cs2SmAs2O6 crystal (PBE-GGA).

Calculated values
Formation energy from raw total energies, eV/f.u.: -20.9
SG: No. 12

Unit cell a=6.198 b=6.188 c=7.674 alpha=112.37 beta=90.00 gamma=120.05
Element x y z (fractional)
Cs (0.725, 0.451, 0.194)
Cs (0.275, 0.549, 0.806)
Sm (0.500, 0.000, 0.500)
As (0.926, 0.852, 0.777)
As (0.074, 0.148, 0.223)
O (0.743, 0.485, 0.639)
O (0.236, 0.015, 0.291)
O (0.221, 0.985, 0.709)
O (0.764, 0.985, 0.709)
O (0.779, 0.015, 0.291)
O (0.257, 0.515, 0.361)



# 10
Entry from Alexandria: a relaxed CsSnAsO5 crystal (PBE-GGA).

Calculated values
Formation energy from raw total energies, eV/f.u.: -11.4
SG: No. 15

Unit cell a=6.306 b=6.306 c=7.523 alpha=105.52 beta=105.52 gamma=105.75
Element x y z (fractional)
Cs (0.347, 0.653, 0.250)
Cs (0.653, 0.347, 0.750)
Sn (0.000, 0.000, 0.500)
Sn (0.000, 0.000, 0.000)
As (0.704, 0.296, 0.250)
As (0.296, 0.704, 0.750)
O (0.064, 0.936, 0.250)
O (0.936, 0.064, 0.750)
O (0.891, 0.281, 0.116)
O (0.109, 0.719, 0.884)
O (0.719, 0.109, 0.384)
O (0.281, 0.891, 0.616)
O (0.794, 0.587, 0.405)
O (0.206, 0.413, 0.595)
O (0.413, 0.206, 0.095)
O (0.587, 0.794, 0.905)



# 11
Entry from Alexandria: a relaxed CsSnAs2O8 crystal (PBE-GGA).

Calculated values
Formation energy from raw total energies, eV/f.u.: -15.6
SG: No. 147

Unit cell a=5.261 b=5.261 c=9.137 alpha=90.00 beta=90.00 gamma=120.00
Element x y z (fractional)
Cs (0.000, 0.000, 0.000)
Sn (0.000, 0.000, 0.500)
As (0.667, 0.333, 0.309)
As (0.333, 0.667, 0.691)
O (0.333, 0.667, 0.878)
O (0.335, 0.293, 0.364)
O (0.707, 0.042, 0.364)
O (0.667, 0.333, 0.122)
O (0.293, 0.958, 0.636)
O (0.665, 0.707, 0.636)
O (0.042, 0.335, 0.636)
O (0.958, 0.665, 0.364)



# 12
Entry from Alexandria: a relaxed CsSrAs2O6 crystal (PBE-GGA).

Calculated values
Formation energy from raw total energies, eV/f.u.: -17.0
SG: No. 15

Unit cell a=7.735 b=7.735 c=6.346 alpha=99.79 beta=99.79 gamma=89.80
Element x y z (fractional)
Cs (0.193, 0.807, 0.250)
Cs (0.807, 0.193, 0.750)
Sr (0.613, 0.387, 0.250)
Sr (0.387, 0.613, 0.750)
As (0.293, 0.139, 0.795)
As (0.861, 0.707, 0.705)
As (0.707, 0.861, 0.205)
As (0.139, 0.293, 0.295)
O (0.938, 0.384, 0.243)
O (0.616, 0.062, 0.257)
O (0.062, 0.616, 0.757)
O (0.384, 0.938, 0.743)
O (0.172, 0.150, 0.034)
O (0.850, 0.828, 0.466)
O (0.828, 0.850, 0.966)
O (0.150, 0.172, 0.534)
O (0.312, 0.443, 0.366)
O (0.557, 0.688, 0.134)
O (0.688, 0.557, 0.634)
O (0.443, 0.312, 0.866)



What E_tot values result from the calculations? In sequence: -5.2502, -4.1734, -6.5369, -1.6236, -3.2928, -3.4205, -5.4588, -1.8311, -6.0298, -5.7088, -5.7869, -5.8600 eV per atom.